*i*
Computed, not measured: a relaxed PuNbAs2 crystal at the PBE level of DFT.

Geometry as extended XYZ:
```
4
Lattice="-0.607 -3.386 1.502 2.861 -2.382 0.475 1.881 0.705 7.038" Properties=species:S:1:pos:R:3 pbc="T T T"
Pu 3.370 -3.172 8.279
Nb 2.078 -2.508 4.565
As 1.569 -0.021 5.277
As 1.066 -1.190 2.438
```

M_tot	5.1	Bohr magnetons per cell
N(E_F)	10.08	states/eV/f.u.
symmetry	No. 160

*ii*
Computed, not measured: a relaxed PuNbAs2 crystal at the PBE level of DFT.

Geometry as extended XYZ:
```
16
Lattice="4.256 0.000 0.000 0.000 5.477 0.000 0.000 0.000 16.046" Properties=species:S:1:pos:R:3 pbc="T T T"
Pu 3.192 1.372 8.913
Pu 1.064 4.106 7.134
Pu 3.192 4.110 15.157
Pu 1.064 1.367 0.890
Nb 3.192 4.105 2.727
Nb 3.192 1.366 5.296
Nb 1.064 1.373 13.320
Nb 1.064 4.111 10.750
As 3.192 4.111 9.271
As 1.064 1.367 6.775
As 3.192 1.372 14.798
As 1.064 4.105 1.248
As 1.064 1.372 10.786
As 3.192 1.366 2.763
As 1.064 4.111 13.284
As 3.192 4.105 5.261
```

M_tot	22.4	Bohr magnetons per cell
N(E_F)	10.60	states/eV/f.u.
symmetry	No. 62

*iii*
Computed, not measured: a relaxed PuNbAs2 crystal at the PBE level of DFT.

Geometry as extended XYZ:
```
4
Lattice="-2.019 0.483 2.569 1.352 -2.584 1.549 4.790 4.280 2.960" Properties=species:S:1:pos:R:3 pbc="T T T"
Nb -0.333 -1.051 2.059
As 3.761 3.361 2.325
As 1.029 0.919 0.636
Pu 2.062 1.089 3.539
```

M_tot	5.5	Bohr magnetons per cell
N(E_F)	7.87	states/eV/f.u.
symmetry	No. 123

Most favorable structure: *i*. The second most favorable one is 11.2 kJ/mol of atoms above it.

*i*
Computed, not measured: a relaxed RbNbAs2 crystal at the PBE level of DFT.

Geometry as extended XYZ:
```
8
Lattice="-2.499 -4.166 5.489 6.278 1.031 3.641 -0.252 2.911 6.989" Properties=species:S:1:pos:R:3 pbc="T T T"
Nb 0.000 0.000 0.000
Nb -0.431 -1.411 8.522
As -1.165 -2.289 6.347
As 1.374 -2.773 9.484
As 0.412 0.874 8.192
As -2.344 -1.457 10.063
Rb 1.889 -1.567 4.565
Rb 3.958 1.187 7.597
```

M_tot	0.0	Bohr magnetons per cell
N(E_F)	0.00	states/eV/f.u.
symmetry	No. 122

*ii*
Computed, not measured: a relaxed RbNbAs2 crystal at the PBE level of DFT.

Geometry as extended XYZ:
```
4
Lattice="4.776 -1.493 0.079 1.227 -4.350 2.150 1.461 -3.864 -2.826" Properties=species:S:1:pos:R:3 pbc="T T T"
Nb 3.732 -4.853 -0.298
As 1.866 -2.427 -0.149
As 5.599 -7.280 -0.448
Rb 0.000 0.000 0.000
```

M_tot	1.3	Bohr magnetons per cell
N(E_F)	4.50	states/eV/f.u.
symmetry	No. 225

Most favorable structure: *i*. The second most favorable one is 66.2 kJ/mol of atoms above it.

*i*
Computed, not measured: a relaxed RbNbAs3 crystal at the PBE level of DFT.

Geometry as extended XYZ:
```
5
Lattice="5.115 0.000 0.000 0.000 5.115 0.000 0.000 0.000 5.115" Properties=species:S:1:pos:R:3 pbc="T T T"
Nb 0.000 0.000 0.000
As 0.000 2.558 0.000
As 0.000 0.000 2.558
As 2.558 0.000 0.000
Rb 2.558 2.558 2.558
```

M_tot	0.0	Bohr magnetons per cell
N(E_F)	2.43	states/eV/f.u.
symmetry	No. 221

*ii*
Computed, not measured: a relaxed RbNbAs3 crystal at the PBE level of DFT.

Geometry as extended XYZ:
```
5
Lattice="5.219 0.000 0.000 0.000 5.219 0.000 0.000 0.000 5.219" Properties=species:S:1:pos:R:3 pbc="T T T"
Nb 2.610 2.610 2.610
As 0.000 2.610 0.000
As 0.000 0.000 2.610
As 2.610 0.000 0.000
Rb 0.000 0.000 0.000
```

M_tot	0.0	Bohr magnetons per cell
N(E_F)	10.47	states/eV/f.u.
symmetry	No. 221

Most favorable structure: *i*. The second most favorable one is 228.2 kJ/mol of atoms above it.

*i*
Computed, not measured: a relaxed RbNbAsSe2 crystal at the PBE level of DFT.

Geometry as extended XYZ:
```
5
Lattice="5.453 0.000 0.000 0.000 5.453 0.000 0.000 0.000 5.306" Properties=species:S:1:pos:R:3 pbc="T T T"
As 0.000 0.000 2.653
Nb 2.727 2.727 2.653
Se 0.000 2.727 0.000
Se 2.727 0.000 0.000
Rb 0.000 0.000 0.000
```

M_tot	0.0	Bohr magnetons per cell
N(E_F)	13.35	states/eV/f.u.
symmetry	No. 123

*ii*
Computed, not measured: a relaxed RbNbAsSe2 crystal at the PBE level of DFT.

Geometry as extended XYZ:
```
5
Lattice="5.160 0.000 0.000 0.000 5.160 0.000 0.000 0.000 5.115" Properties=species:S:1:pos:R:3 pbc="T T T"
As 0.000 0.000 2.558
Nb 0.000 0.000 0.000
Se 0.000 2.580 0.000
Se 2.580 0.000 0.000
Rb 2.580 2.580 2.558
```

M_tot	0.0	Bohr magnetons per cell
N(E_F)	1.12	states/eV/f.u.
symmetry	No. 123

Most favorable structure: *ii*. The second most favorable one is 237.1 kJ/mol of atoms above it.

*i*
Computed, not measured: a relaxed NbAsRh3 crystal at the PBE level of DFT.

Geometry as extended XYZ:
```
5
Lattice="-1.535 -0.899 4.374 -4.032 -1.710 -1.767 1.920 -4.309 -0.212" Properties=species:S:1:pos:R:3 pbc="T T T"
Nb 0.000 0.000 0.000
Rh -2.016 -0.855 -0.883
Rh 0.960 -2.155 -0.106
Rh -0.768 -0.450 2.187
As -1.823 -3.459 1.198
```

M_tot	0.0	Bohr magnetons per cell
N(E_F)	3.05	states/eV/f.u.
symmetry	No. 221

*ii*
Computed, not measured: a relaxed NbAsRh3 crystal at the PBE level of DFT.

Geometry as extended XYZ:
```
5
Lattice="-0.744 1.704 4.102 -4.432 -0.565 -0.569 0.299 -4.130 1.770" Properties=species:S:1:pos:R:3 pbc="T T T"
Nb -2.438 -1.495 2.651
Rh -2.216 -0.282 -0.285
Rh 0.149 -2.065 0.885
Rh -0.372 0.852 2.051
As 0.000 0.000 0.000
```

M_tot	0.0	Bohr magnetons per cell
N(E_F)	17.28	states/eV/f.u.
symmetry	No. 221

Most favorable structure: *ii*. The second most favorable one is 42.7 kJ/mol of atoms above it.

*i*
Computed, not measured: a relaxed NbAsRhSe2 crystal at the PBE level of DFT.

Geometry as extended XYZ:
```
5
Lattice="4.957 0.000 0.000 0.000 4.957 0.000 0.000 0.000 5.011" Properties=species:S:1:pos:R:3 pbc="T T T"
Nb 0.000 0.000 0.000
Rh 2.479 2.479 2.506
As 0.000 0.000 2.506
Se 0.000 2.479 0.000
Se 2.479 0.000 0.000
```

M_tot	1.3	Bohr magnetons per cell
N(E_F)	7.21	states/eV/f.u.
symmetry	No. 123

*ii*
Computed, not measured: a relaxed NbAsRhSe2 crystal at the PBE level of DFT.

Geometry as extended XYZ:
```
5
Lattice="-1.190 3.307 -3.298 -1.952 -3.444 -2.749 -4.108 0.636 2.120" Properties=species:S:1:pos:R:3 pbc="T T T"
Nb -3.625 0.249 -1.963
Rh 0.000 0.000 0.000
As -2.054 0.318 1.060
Se -0.976 -1.722 -1.374
Se -0.595 1.653 -1.649
```

M_tot	0.0	Bohr magnetons per cell
N(E_F)	5.40	states/eV/f.u.
symmetry	No. 123

Most favorable structure: *i*. The second most favorable one is 5.9 kJ/mol of atoms above it.